The following is a DFT calculation (PBE with a Hubbard U) of an optimized crystal structure of TiFe2Bi2PbO9.

Output
* crystal system: trigonal
* energy above the lowest structure with this stoichiometry: 189 meV per atom
* SG: No. 143
* calculated volume: 12.34 A^3/atom

a b c (Å): 5.5751 5.5751 13.7553
angles (deg): 90.00 90.00 120.00
Last column: magnetic moment on the atom in μB.
Atoms (fractional coordinates):
O: 0.2069 0.8637 0.0925  0.00
O: 0.7708 0.6773 0.4432  0.12
O: 0.4326 0.0159 0.7642  0.05
O: 0.6568 0.7931 0.0925  0.00
Ti: 0.0000 0.0000 0.0269  0.00
Bi: 0.6667 0.3333 0.6311  0.00
O: 0.9980 0.5297 0.2681  0.05
O: 0.4703 0.4683 0.2681  0.05
O: 0.5833 0.5674 0.7642  0.05
Ti: 0.3333 0.6667 0.2048  0.06
O: 0.1363 0.3432 0.0925  0.00
Bi: 0.3333 0.6667 0.4750  0.00
Pb: 0.0000 0.0000 0.3036  0.00
O: 0.9841 0.4167 0.7642  0.05
O: 0.7699 0.0884 0.9258  0.03
O: 0.6505 0.8976 0.6027  0.06
Bi: 0.0000 0.0000 0.7949  0.00
O: 0.9065 0.2292 0.4432  0.12
Pb: 0.6667 0.3333 0.1261  0.00
Bi: 0.3333 0.6667 0.9609  0.00
Fe: 0.0000 0.0000 0.5291  -1.02
Fe: 0.6667 0.3333 0.3694  4.30
O: 0.1024 0.7529 0.6027  0.06
O: 0.2471 0.3495 0.6027  0.06
O: 0.9116 0.6814 0.9258  0.03
O: 0.5317 0.0020 0.2681  0.05
Fe: 0.3333 0.6667 0.6943  -1.19
Fe: 0.6667 0.3333 0.8536  -1.19
O: 0.3227 0.0935 0.4432  0.12
O: 0.3186 0.2301 0.9258  0.03